# 1
Material: CaCu2C
Method: DFT, PBE-GGA
State: optimized geometry

Cell: 6.9651 6.9651 6.9651 Å, 140.48 140.48 57.12°
Last column: nearest neighbours and their distance in Å.
Fractional positions:
Ca (0.3750, 0.6250, 0.7500)  8 Cu 3.04, 4 C 3.33
Ca (0.6250, 0.3750, 0.2500)  8 Cu 3.04, 4 C 3.33
Cu (0.0000, 0.0000, 0.0000)  2 C 1.93
Cu (0.0000, 0.0000, 0.5000)  2 C 1.93
Cu (0.0000, 0.5000, 0.0000)  2 C 1.93
Cu (0.5000, 0.0000, 0.5000)  2 C 1.93
C (0.1250, 0.8750, 0.2500)  4 Cu 1.93
C (0.8750, 0.1250, 0.7500)  4 Cu 1.93

Properties
Formation energy (eV per atom): 0.33
SG: I4_1/amd

# 2
Material: NbCrC3
Method: DFT, PBE-GGA
State: optimized geometry

Cell: 4.1225 4.1225 4.1225 Å, 90.00 90.00 90.00°
Last column: nearest neighbours and their distance in Å.
Fractional positions:
Nb (0.0000, 0.0000, 0.0000)  6 C 2.06
Cr (0.5000, 0.5000, 0.5000)  12 C 2.92
C (0.0000, 0.0000, 0.5000)  2 Nb 2.06
C (0.0000, 0.5000, 0.0000)  2 Nb 2.06
C (0.5000, 0.0000, 0.0000)  2 Nb 2.06

Properties
Energy relative to the lowest polymorph listed for this composition (eV/atom): 0.967
Formation energy (eV per atom): 2.39
SG: Pm-3m

# 3
Material: Pm2RhS
Method: DFT, PBE-GGA
State: optimized geometry

Cell: 7.4762 7.4762 7.4762 Å, 30.91 30.91 30.91°
Last column: nearest neighbours and their distance in Å.
Fractional positions:
Pm (0.2471, 0.2471, 0.2471)  3 Rh 2.87, 3 S 2.95
Pm (0.7529, 0.7529, 0.7529)  3 Rh 2.87, 3 S 2.95
Rh (0.5000, 0.5000, 0.5000)  6 Pm 2.87
S (0.0000, 0.0000, 0.0000)  6 Pm 2.95

Properties
Energy relative to the lowest polymorph listed for this composition (eV/atom): 0.084
Formation energy from raw total energies (meV per atom): -1271
SG: R-3m